1.
4
Lattice="-2.454 -2.514 0.475 -0.294 -0.377 -3.513 6.145 -5.976 0.128" Properties=species:S:1:pos:R:3 comment="YHoTmZn | Alexandria | PBE | optimized geometry" m_tot_mub_per_atom=0.000 sg="P4mm, No. 99" delta_e_f_kj_per_mol_fu=-63 pbc="T T T"
Ho 0.466 -0.453 0.010
Tm 0.872 -3.630 -1.472
Y 3.406 -6.094 -1.420
Zn 3.475 -3.379 0.072

---

2.
5
Lattice="-3.182 -2.609 1.163 2.854 -2.831 1.458 -0.119 1.861 3.848" Properties=species:S:1:pos:R:3 comment="CaTeO3 | Alexandria | PBE | optimized geometry" m_tot_mub_per_atom=0.132 sg="Pm-3m, No. 221" e_form_raw_ev_per_atom=-0.422 pbc="T T T"
Te 0.000 0.000 0.000
Ca -0.223 -1.790 3.235
O 1.368 -0.485 2.653
O -0.164 -2.720 1.310
O -1.651 -0.374 2.506

---

3.
4
Lattice="-2.517 -0.228 -2.927 0.251 -2.901 -2.544 -7.206 -6.865 4.177" Properties=species:S:1:pos:R:3 comment="PmNd2Se | Alexandria | PBE | optimized geometry" m_tot_mub_per_atom=0.196 sg="R-3m, No. 166" e_form_raw_ev_per_atom=-0.582 e_above_lowest_polymorph_ev_per_fu=0.88 pbc="T T T"
Pm 0.000 0.000 0.000
Nd -5.107 -4.972 2.225
Se -4.735 -4.997 -0.647
Nd -4.363 -5.023 -3.519

---

4.
7
Lattice="5.860 0.000 0.000 0.000 5.860 0.000 -2.930 -2.930 5.975" Properties=species:S:1:pos:R:3 comment="Ag2Te4Au | Alexandria | PBE | optimized geometry" m_tot_mub_per_atom=0.000 sg="I-42m, No. 121" e_form_raw_ev_per_atom=0.099 e_above_lowest_polymorph_ev_per_fu=0.24 pbc="T T T"
Au 2.930 2.930 0.000
Ag 2.930 0.000 2.987
Te 1.743 1.743 4.800
Ag 0.000 2.930 2.987
Te -1.743 -1.743 4.800
Te 1.187 4.673 1.175
Te 4.673 1.187 1.175

---

Copy entry 2 word for word.
5
Lattice="-3.182 -2.609 1.163 2.854 -2.831 1.458 -0.119 1.861 3.848" Properties=species:S:1:pos:R:3 comment="CaTeO3 | Alexandria | PBE | optimized geometry" m_tot_mub_per_atom=0.132 sg="Pm-3m, No. 221" e_form_raw_ev_per_atom=-0.422 pbc="T T T"
Te 0.000 0.000 0.000
Ca -0.223 -1.790 3.235
O 1.368 -0.485 2.653
O -0.164 -2.720 1.310
O -1.651 -0.374 2.506